[1]
VASP calculation (GGA-PBE) on TbPrEuSc after structural relaxation.

Lattice parameters (Å, degrees): 5.6894 5.6894 5.6894 60.00 60.00 60.00
Each line ends with the local moment (μB).
Fractional positions:
Eu1 0.5000 0.5000 0.5000  6.84
Pr1 0.7500 0.7500 0.7500  0.08
Tb1 0.2500 0.2500 0.2500  0.09
Sc1 0.0000 0.0000 0.0000  0.06

Output
ρ = 6334 kg/m³
calculated total energy = -6.349 eV/atom

=====

[2]
VASP calculation (GGA-PBE) on PrEuScTl after structural relaxation.

Lattice parameters (Å, degrees): 5.5540 5.5540 5.5540 60.00 60.00 60.00
Each line ends with the local moment (μB).
Fractional positions:
Eu1 0.2500 0.2500 0.2500  6.85
Pr1 0.7500 0.7500 0.7500  0.09
Tl1 0.0000 0.0000 0.0000  -0.01
Sc1 0.5000 0.5000 0.5000  0.29

Output
ρ = 7432 kg/m³
calculated total energy = -5.984 eV/atom

=====

[3]
VASP calculation (GGA-PBE) on PrEuYSc after structural relaxation.

Lattice parameters (Å, degrees): 5.6957 5.6957 5.6957 60.00 60.00 60.00
Each line ends with the local moment (μB).
Fractional positions:
Eu1 0.2500 0.2500 0.2500  6.84
Pr1 0.5000 0.5000 0.5000  0.08
Y1 0.0000 0.0000 0.0000  0.07
Sc1 0.7500 0.7500 0.7500  0.06

Output
ρ = 5423 kg/m³
calculated total energy = -6.808 eV/atom

=====

[4]
VASP calculation (GGA-PBE) on PrEuSe after structural relaxation.

Lattice parameters (Å, degrees): 4.0951 4.0951 6.9421 90.00 90.00 120.00
Each line ends with the local moment (μB).
Fractional positions:
Eu1 0.6667 0.3333 0.3982  6.95
Pr1 0.0000 0.0000 0.9339  0.28
Se1 0.3333 0.6667 0.6678  -0.02

Output
ρ = 6124 kg/m³
calculated total energy = -7.326 eV/atom

=====

[5]
VASP calculation (GGA-PBE) on Pr2EuSe4 after structural relaxation.

Lattice parameters (Å, degrees): 7.8321 7.8321 7.8321 109.44 109.44 109.54
Each line ends with the local moment (μB).
Fractional positions:
Pr1 0.5017 0.1250 0.8767  0.02
Pr2 0.8750 0.7517 0.3767  0.02
Pr3 0.2483 0.6250 0.1233  0.02
Pr4 0.3750 0.4983 0.6233  0.02
Eu1 0.7500 0.2500 0.5000  6.81
Eu2 0.0000 0.0000 0.0000  6.81
Se1 0.9779 0.3788 0.2497  -0.02
Se2 0.4782 0.3791 0.2503  -0.02
Se3 0.7721 0.5218 0.9009  -0.02
Se4 0.6212 0.8709 0.5991  -0.02
Se5 0.1288 0.2279 0.7497  -0.02
Se6 0.6209 0.8712 0.0991  -0.02
Se7 0.2718 0.0221 0.4009  -0.02
Se8 0.1291 0.7282 0.7503  -0.02

Output
ρ = 6731 kg/m³
calculated total energy = -6.773 eV/atom

=====

[6]
VASP calculation (GGA-PBE) on PrEu2Si after structural relaxation.

Lattice parameters (Å, degrees): 3.6787 3.6787 11.6086 80.88 80.88 60.00
Each line ends with the local moment (μB).
Fractional positions:
Eu1 0.1048 0.1048 0.6857  6.89
Eu2 0.8952 0.8952 0.3143  6.89
Pr1 0.0000 0.0000 0.0000  0.12
Si1 0.5000 0.5000 0.5000  -0.04

Output
ρ = 5871 kg/m³
calculated total energy = -7.628 eV/atom